Ce7Si5Ir after structural relaxation, computed with PBE.

formation energy without anion corrections = -0.4285 eV/atom
space group = Imm2 (44)

a = 7.868 Å, b = 7.868 Å, c = 7.868 Å
α = 134.51°, β = 94.58°, γ = 102.65°
Element x y z (fractional)
Ce  0.000  0.000  0.000
Ce  0.016  0.732  0.284
Ce  0.447  0.732  0.716
Ce  0.459  0.459  0.000
Ce  0.495  0.160  0.335
Ce  0.826  0.160  0.665
Ce  0.873  0.373  0.500
Si  0.192  0.257  0.538
Si  0.192  0.654  0.936
Si  0.415  0.915  0.500
Si  0.719  0.257  0.064
Si  0.719  0.654  0.462
Ir  0.733  0.733  0.000


Ce5SiIr2 after structural relaxation, computed with PBE.

formation energy without anion corrections = -0.3143 eV/atom
space group = Cmcm (63)
distance to the lowest polymorph of the same formula = 190 kJ/mol of formula units

a = 6.904 Å, b = 6.904 Å, c = 13.793 Å
α = 90.00°, β = 90.00°, γ = 131.30°
Element x y z (fractional)
Ce  0.054  0.946  0.624
Ce  0.054  0.946  0.876
Ce  0.240  0.760  0.250
Ce  0.343  0.657  0.557
Ce  0.343  0.657  0.943
Ce  0.657  0.343  0.057
Ce  0.657  0.343  0.443
Ce  0.760  0.240  0.750
Ce  0.946  0.054  0.124
Ce  0.946  0.054  0.376
Si  0.239  0.761  0.750
Si  0.761  0.239  0.250
Ir  0.153  0.847  0.056
Ir  0.153  0.847  0.444
Ir  0.847  0.153  0.556
Ir  0.847  0.153  0.944


Ce2Si3Ir2 after structural relaxation, computed with PBE.

formation energy without anion corrections = -0.8642 eV/atom
space group = Cmcm (63)
distance to the lowest polymorph of the same formula = 0 kJ/mol of formula units

a = 9.168 Å, b = 9.168 Å, c = 6.901 Å
α = 90.00°, β = 90.00°, γ = 153.68°
Element x y z (fractional)
Ce  0.055  0.945  0.750
Ce  0.156  0.844  0.250
Ce  0.844  0.156  0.750
Ce  0.945  0.055  0.250
Si  0.222  0.778  0.750
Si  0.439  0.561  0.569
Si  0.439  0.561  0.931
Si  0.561  0.439  0.069
Si  0.561  0.439  0.431
Si  0.778  0.222  0.250
Ir  0.309  0.691  0.046
Ir  0.309  0.691  0.454
Ir  0.691  0.309  0.546
Ir  0.691  0.309  0.954


Ce6SiIr2 after structural relaxation, computed with PBE.

formation energy without anion corrections = -0.4677 eV/atom
space group = C2/c (15)
distance to the lowest polymorph of the same formula = 30 kJ/mol of formula units

a = 9.026 Å, b = 9.026 Å, c = 5.872 Å
α = 98.65°, β = 98.65°, γ = 64.14°
Element x y z (fractional)
Ce  0.028  0.813  0.852
Ce  0.063  0.563  0.283
Ce  0.187  0.972  0.648
Ce  0.309  0.511  0.785
Ce  0.437  0.937  0.217
Ce  0.489  0.691  0.715
Ce  0.511  0.309  0.285
Ce  0.563  0.063  0.783
Ce  0.691  0.489  0.215
Ce  0.813  0.028  0.352
Ce  0.937  0.437  0.717
Ce  0.972  0.187  0.148
Si  0.312  0.688  0.250
Si  0.688  0.312  0.750
Ir  0.239  0.248  0.983
Ir  0.248  0.239  0.483
Ir  0.752  0.761  0.517
Ir  0.761  0.752  0.017


Ce6SiIr2 after structural relaxation, computed with PBE.

formation energy without anion corrections = -0.5019 eV/atom
space group = C2/m (12)
distance to the lowest polymorph of the same formula = 0 kJ/mol of formula units

a = 5.621 Å, b = 5.621 Å, c = 8.875 Å
α = 96.29°, β = 96.29°, γ = 49.93°
Element x y z (fractional)
Ce  0.060  0.060  0.340
Ce  0.310  0.310  0.922
Ce  0.395  0.395  0.332
Ce  0.605  0.605  0.668
Ce  0.690  0.690  0.078
Ce  0.940  0.940  0.660
Si  0.000  0.000  0.000
Ir  0.265  0.265  0.617
Ir  0.735  0.735  0.383


CeSi2Ir3 after structural relaxation, computed with PBE.

formation energy without anion corrections = -0.8966 eV/atom
space group = P6/mmm (191)
distance to the lowest polymorph of the same formula = 17 kJ/mol of formula units

a = 5.598 Å, b = 5.598 Å, c = 3.705 Å
α = 90.00°, β = 90.00°, γ = 120.00°
Element x y z (fractional)
Ce  0.000  0.000  0.000
Si  0.333  0.667  0.000
Si  0.667  0.333  0.000
Ir  0.000  0.500  0.500
Ir  0.500  0.000  0.500
Ir  0.500  0.500  0.500